No. 1
The following is a PBEsol calculation of a relaxed structure of LiAlTl, from the Alexandria database.

Size of the total moment in μB per cell: 0.0
E_tot in eV per cell: -8.69

Unit cell a=4.7481 b=4.7481 c=3.1613 alpha=90.00 beta=90.00 gamma=120.00
Last column: nearest neighbours and their distance in Å.
Element x y z (fractional)
1 Li 0.0000 0.0000 0.0000  6 Tl 3.16-3.17, 6 Al 3.16-3.17, 2 Li 3.16
2 Al 0.6667 0.3333 0.4974  3 Tl 2.74
3 Tl 0.3333 0.6667 0.5030  3 Al 2.74

No. 2
The following is a PBEsol calculation of a relaxed structure of LiAl2Tl, from the Alexandria database.

Size of the total moment in μB per cell: 0.0
Excess energy over the best structure of this formula in the dataset in meV/atom: 178
E_tot in eV per cell: -12.02

Unit cell a=4.8485 b=4.8485 c=4.8485 alpha=60.00 beta=60.00 gamma=60.00
Last column: nearest neighbours and their distance in Å.
Element x y z (fractional)
1 Li 0.0000 0.0000 0.0000  8 Al 2.97
2 Al 0.2500 0.2500 0.2500  4 Tl 2.97, 4 Li 2.97
3 Al 0.7500 0.7500 0.7500  4 Tl 2.97, 4 Li 2.97
4 Tl 0.5000 0.5000 0.5000  8 Al 2.97

No. 3
The following is a PBEsol calculation of a relaxed structure of LiAlTl2, from the Alexandria database.

Size of the total moment in μB per cell: 0.0
E_tot in eV per cell: -11.38

Unit cell a=3.5197 b=3.5197 c=7.0020 alpha=90.00 beta=90.00 gamma=90.00
Last column: nearest neighbours and their distance in Å.
Element x y z (fractional)
1 Li 0.0000 0.0000 0.0000  8 Tl 3.04
2 Al 0.0000 0.0000 0.5000  8 Tl 3.05
3 Tl 0.5000 0.5000 0.2485  4 Li 3.04, 4 Al 3.05
4 Tl 0.5000 0.5000 0.7515  4 Li 3.04, 4 Al 3.05

No. 4
The following is a PBEsol calculation of a relaxed structure of LiAlTl2, from the Alexandria database.

Size of the total moment in μB per cell: 0.0
E_tot in eV per cell: -11.37

Unit cell a=4.7663 b=4.7663 c=3.8276 alpha=90.00 beta=90.00 gamma=90.00
Last column: nearest neighbours and their distance in Å.
Element x y z (fractional)
1 Li 0.0000 0.0000 0.0000  8 Tl 3.06, 4 Al 3.37
2 Al 0.5000 0.5000 0.0000  8 Tl 3.06, 4 Li 3.37
3 Tl 0.0000 0.5000 0.5000  4 Li 3.06, 4 Al 3.06, 4 Tl 3.37
4 Tl 0.5000 0.0000 0.5000  4 Li 3.06, 4 Al 3.06, 4 Tl 3.37

No. 5
The following is a PBEsol calculation of a relaxed structure of LiAlTl2, from the Alexandria database.

Size of the total moment in μB per cell: 0.0
E_tot in eV per cell: -21.44

Unit cell a=9.9359 b=9.9359 c=9.9359 alpha=153.86 beta=153.86 gamma=37.30
Last column: nearest neighbours and their distance in Å.
Element x y z (fractional)
1 Li 0.0000 0.0000 0.0000  4 Tl 2.82
2 Li 0.7500 0.2500 0.5000  4 Tl 2.82
3 Al 0.2500 0.7500 0.5000  4 Tl 2.85, 4 Li 3.18
4 Al 0.5000 0.5000 0.0000  4 Tl 2.85, 4 Li 3.18
5 Tl 0.1166 0.6250 0.9916  2 Li 2.82, 2 Al 2.85, 2 Tl 3.12
6 Tl 0.3750 0.3666 0.4916  2 Li 2.82, 2 Al 2.85, 2 Tl 3.12
7 Tl 0.6334 0.1250 0.0084  2 Li 2.82, 2 Al 2.85, 2 Tl 3.12
8 Tl 0.8750 0.8834 0.5084  2 Li 2.82, 2 Al 2.85, 2 Tl 3.12

No. 6
The following is a PBEsol calculation of a relaxed structure of LiZr2AlTl, from the Alexandria database.

Size of the total moment in μB per cell: 0.0
E_tot in eV per cell: -24.95

Unit cell a=4.7176 b=4.7176 c=4.4551 alpha=90.00 beta=90.00 gamma=90.00
Last column: nearest neighbours and their distance in Å.
Element x y z (fractional)
1 Li 0.0000 0.0000 0.0000  2 Al 2.23, 4 Zr 2.36
2 Zr 0.0000 0.5000 0.0000  2 Li 2.36
3 Zr 0.5000 0.0000 0.0000  2 Li 2.36
4 Al 0.0000 0.0000 0.5000  2 Li 2.23
5 Tl 0.5000 0.5000 0.5000  8 Zr 3.24, 4 Al 3.34

No. 7
The following is a PBEsol calculation of a relaxed structure of LiTm2Al, from the Alexandria database.

Size of the total moment in μB per cell: 0.0
E_tot in eV per cell: -16.62

Unit cell a=5.0232 b=5.0232 c=5.0232 alpha=60.00 beta=60.00 gamma=60.00
Last column: nearest neighbours and their distance in Å.
Element x y z (fractional)
1 Li 0.0000 0.0000 0.0000  8 Tm 3.08
2 Tm 0.2500 0.2500 0.2500  4 Li 3.08, 4 Al 3.08
3 Tm 0.7500 0.7500 0.7500  4 Li 3.08, 4 Al 3.08
4 Al 0.5000 0.5000 0.5000  8 Tm 3.08

No. 8
The following is a PBEsol calculation of a relaxed structure of LiAlW2, from the Alexandria database.

Size of the total moment in μB per cell: 0.0
E_tot in eV per cell: -32.67

Unit cell a=4.7001 b=4.7001 c=5.0296 alpha=94.30 beta=94.30 gamma=32.68
Last column: nearest neighbours and their distance in Å.
Element x y z (fractional)
1 Li 0.0000 0.0000 0.0000  3 Al 2.60-2.80, 2 Li 2.64, 7 W 2.69-2.88
2 Al 0.7523 0.7523 0.2305  3 Li 2.60-2.80, 2 Al 2.64, 7 W 2.79-2.86
3 W 0.2468 0.2468 0.7340  5 W 2.58-2.83, 3 Li 2.69-2.88, 4 Al 2.82-2.86
4 W 0.4916 0.4916 0.5009  5 W 2.58-2.83, 3 Al 2.79-2.81, 4 Li 2.83-2.85

No. 9
The following is a PBEsol calculation of a relaxed structure of LiAlW2, from the Alexandria database.

Size of the total moment in μB per cell: 0.0
E_tot in eV per cell: -32.62

Unit cell a=5.0035 b=5.0035 c=5.0035 alpha=136.46 beta=136.46 gamma=63.27
Last column: nearest neighbours and their distance in Å.
Element x y z (fractional)
1 Li 0.0000 0.0000 0.0000  4 Al 2.62, 8 W 2.83
2 Al 0.5000 0.5000 0.0000  4 Li 2.62, 8 W 2.83
3 W 0.2500 0.7500 0.5000  4 W 2.62, 4 Al 2.83, 4 Li 2.83
4 W 0.7500 0.2500 0.5000  4 W 2.62, 4 Al 2.83, 4 Li 2.83

No. 10
The following is a PBEsol calculation of a relaxed structure of LiAlW2, from the Alexandria database.

Size of the total moment in μB per cell: 0.0
E_tot in eV per cell: -32.76

Unit cell a=3.2459 b=4.1395 c=4.3738 alpha=90.00 beta=90.00 gamma=90.00
Last column: nearest neighbours and their distance in Å.
Element x y z (fractional)
1 Li 0.0000 0.0000 0.0000  4 Al 2.63, 4 W 2.72
2 Al 0.5000 0.5000 0.0000  4 Li 2.63, 4 W 2.72
3 W 0.0000 0.5000 0.5000  4 W 2.63, 4 Al 2.72
4 W 0.5000 0.0000 0.5000  4 W 2.63, 4 Li 2.72

No. 11
The following is a PBEsol calculation of a relaxed structure of LiAl3W, from the Alexandria database.

Size of the total moment in μB per cell: 0.0
Excess energy over the best structure of this formula in the dataset in meV/atom: 0
E_tot in eV per cell: -25.26

Unit cell a=4.8741 b=4.8741 c=4.8741 alpha=90.00 beta=90.00 gamma=90.00
Last column: nearest neighbours and their distance in Å.
Element x y z (fractional)
1 Li 0.0000 0.0000 0.0000  12 Al 3.45
2 Al 0.0000 0.5000 0.5000  2 W 2.44
3 Al 0.5000 0.0000 0.5000  2 W 2.44
4 Al 0.5000 0.5000 0.0000  2 W 2.44
5 W 0.5000 0.5000 0.5000  6 Al 2.44

No. 12
The following is a PBEsol calculation of a relaxed structure of LiY2Al, from the Alexandria database.

Size of the total moment in μB per cell: 0.0
E_tot in eV per cell: -20.25

Unit cell a=4.7386 b=6.1403 c=6.1403 alpha=32.46 beta=90.00 gamma=90.00
Last column: nearest neighbours and their distance in Å.
Element x y z (fractional)
1 Li 0.0000 0.0000 0.0000  2 Al 2.81, 2 Y 3.13
2 Y 0.0000 0.7222 0.7222  4 Al 3.13, 3 Li 3.13-3.28, 2 Y 3.43
3 Y 0.5000 0.3988 0.3988  4 Li 3.16, 3 Al 3.19-3.20, 2 Y 3.43
4 Al 0.5000 0.1278 0.1278  2 Li 2.81, 4 Y 3.13

No. 13
The following is a PBEsol calculation of a relaxed structure of LiY2Al, from the Alexandria database.

Size of the total moment in μB per cell: 0.0
E_tot in eV per cell: -20.53

Unit cell a=5.0460 b=5.0460 c=3.6999 alpha=90.00 beta=90.00 gamma=90.00
Last column: nearest neighbours and their distance in Å.
Element x y z (fractional)
1 Li 0.0000 0.0000 0.0000  8 Y 3.13
2 Y 0.0000 0.5000 0.5000  4 Li 3.13, 4 Al 3.13
3 Y 0.5000 0.0000 0.5000  4 Li 3.13, 4 Al 3.13
4 Al 0.5000 0.5000 0.0000  8 Y 3.13

No. 14
The following is a PBEsol calculation of a relaxed structure of LiY2Al, from the Alexandria database.

Size of the total moment in μB per cell: 0.0
E_tot in eV per cell: -19.91

Unit cell a=3.3363 b=3.3363 c=8.4162 alpha=90.00 beta=90.00 gamma=90.00
Last column: nearest neighbours and their distance in Å.
Element x y z (fractional)
1 Li 0.0000 0.0000 0.0000  4 Al 2.72
2 Y 0.0000 0.0000 0.5888  4 Al 3.17, 4 Y 3.34, 1 Li 3.46
3 Y 0.5000 0.5000 0.2723  4 Li 3.29, 8 Y 3.34-3.56, 1 Al 3.64
4 Al 0.5000 0.5000 0.8399  4 Li 2.72

No. 15
The following is a PBEsol calculation of a relaxed structure of LiYAl, from the Alexandria database.

Size of the total moment in μB per cell: 0.0
E_tot in eV per cell: -13.49

Unit cell a=4.7515 b=4.7515 c=3.2851 alpha=90.00 beta=90.00 gamma=120.00
Last column: nearest neighbours and their distance in Å.
Element x y z (fractional)
1 Li 0.0000 0.0000 0.0000  3 Al 2.74
2 Y 0.6667 0.3333 0.5000  6 Li 3.20, 6 Al 3.20, 2 Y 3.29
3 Al 0.3333 0.6667 0.0000  3 Li 2.74

No. 16
The following is a PBEsol calculation of a relaxed structure of LiY4Al, from the Alexandria database.

Size of the total moment in μB per cell: 0.0
E_tot in eV per cell: -30.94

Unit cell a=6.2203 b=6.2203 c=6.2203 alpha=60.00 beta=60.00 gamma=60.00
Last column: nearest neighbours and their distance in Å.
Element x y z (fractional)
1 Li 0.0000 0.0000 0.0000  12 Y 3.65, 4 Al 3.81
2 Y 0.3764 0.3764 0.3764  6 Y 3.07-3.15
3 Y 0.3764 0.3764 0.8707  6 Y 3.07-3.15
4 Y 0.3764 0.8707 0.3764  6 Y 3.07-3.15
5 Y 0.8707 0.3764 0.3764  6 Y 3.07-3.15
6 Al 0.7500 0.7500 0.7500  12 Y 3.64, 4 Li 3.81

No. 17
The following is a PBEsol calculation of a relaxed structure of LiYAl4, from the Alexandria database.

Size of the total moment in μB per cell: 0.0
E_tot in eV per cell: -26.73

Unit cell a=5.4497 b=5.4497 c=5.4497 alpha=60.00 beta=60.00 gamma=60.00
Last column: nearest neighbours and their distance in Å.
Element x y z (fractional)
1 Li 0.0000 0.0000 0.0000  12 Al 3.20, 4 Y 3.34
2 Y 0.7500 0.7500 0.7500  12 Al 3.19, 4 Li 3.34
3 Al 0.3754 0.3754 0.3754  6 Al 2.72-2.73
4 Al 0.3754 0.3754 0.8739  6 Al 2.72-2.73
5 Al 0.3754 0.8739 0.3754  6 Al 2.72-2.73
6 Al 0.8739 0.3754 0.3754  6 Al 2.72-2.73

No. 18
The following is a PBEsol calculation of a relaxed structure of LiAl2Zn2, from the Alexandria database.

Size of the total moment in μB per cell: 0.0
E_tot in eV per cell: -13.28

Unit cell a=6.4653 b=6.4653 c=6.4653 alpha=145.08 beta=145.08 gamma=50.21
Last column: nearest neighbours and their distance in Å.
Element x y z (fractional)
1 Li 0.0000 0.0000 0.0000  8 Zn 2.99
2 Al 0.2500 0.7500 0.5000  4 Zn 2.60, 4 Al 2.74
3 Al 0.7500 0.2500 0.5000  4 Zn 2.60, 4 Al 2.74
4 Zn 0.3982 0.3982 0.0000  1 Zn 2.38, 4 Al 2.60
5 Zn 0.6018 0.6018 0.0000  1 Zn 2.38, 4 Al 2.60

No. 19
The following is a PBEsol calculation of a relaxed structure of LiAl2Zn, from the Alexandria database.

Size of the total moment in μB per cell: 0.0
E_tot in eV per cell: -11.94

Unit cell a=2.7815 b=2.7815 c=8.1788 alpha=90.00 beta=90.00 gamma=90.00
Last column: nearest neighbours and their distance in Å.
Element x y z (fractional)
1 Li 0.0000 0.0000 0.0000  4 Li 2.78, 8 Al 2.90
2 Al 0.5000 0.5000 0.2608  4 Zn 2.77, 4 Al 2.78, 4 Li 2.90
3 Al 0.5000 0.5000 0.7392  4 Zn 2.77, 4 Al 2.78, 4 Li 2.90
4 Zn 0.0000 0.0000 0.5000  8 Al 2.77, 4 Zn 2.78

No. 20
The following is a PBEsol calculation of a relaxed structure of LiAlZn2, from the Alexandria database.

Size of the total moment in μB per cell: 0.0
E_tot in eV per cell: -9.53

Unit cell a=4.7064 b=4.7064 c=4.7631 alpha=100.13 beta=100.13 gamma=34.42
Last column: nearest neighbours and their distance in Å.
Element x y z (fractional)
1 Li 0.0000 0.0000 0.0000  7 Zn 2.64-2.77, 3 Al 2.72-2.82, 2 Li 2.78
2 Al 0.7597 0.7597 0.2730  7 Zn 2.67-2.77, 3 Li 2.72-2.82, 2 Al 2.78
3 Zn 0.2458 0.2458 0.7692  3 Li 2.64-2.73, 5 Zn 2.68-2.85, 4 Al 2.76-2.77
4 Zn 0.5052 0.5052 0.5054  3 Al 2.67-2.72, 5 Zn 2.68-2.85, 4 Li 2.74-2.77

no.,density of states at the Fermi level (states/eV per cell)
1,1.40
2,1.52
3,1.23
4,1.58
5,3.19
6,3.05
7,3.38
8,1.51
9,1.52
10,2.04
11,2.96
12,3.14
13,3.79
14,5.18
15,2.54
16,4.69
17,2.94
18,2.25
19,1.33
20,1.23